Below is a relaxed structure of CsTaTeSe6, with properties calculated at the GGA-PBE level.

a b c (Å): 6.8598 6.8607 8.3229
angles (deg): 90.02 89.99 59.95
Fractional positions:
Se 0.4011 0.9831 0.6896
Se 0.4004 0.6162 0.3106
Se 0.6163 0.9829 0.3106
Se 0.9832 0.4009 0.3104
Se 0.9827 0.6162 0.6895
Se 0.6162 0.4007 0.6893
Te 0.3334 0.3334 0.5001
Ta 0.6665 0.6666 0.4998
Cs 0.0000 0.0000 0.0000

Summary:
Uncorrected formation energy   -419 meV/atom
Space-group type   No. 149

Below is a relaxed structure of CsTaTeSe3, with properties calculated at the GGA-PBE level.

a b c (Å): 6.5351 9.0058 9.2849
angles (deg): 119.01 90.00 90.00
Fractional positions:
Se 0.5000 0.8015 0.0000
Se 0.0000 0.8015 0.0000
Se 0.0000 0.1985 0.0000
Se 0.7500 0.8060 0.6119
Se 0.2500 0.1940 0.3881
Se 0.5000 0.1985 0.0000
Te 0.7500 0.5277 0.0553
Te 0.2500 0.4723 0.9447
Cs 0.7500 0.2911 0.5821
Cs 0.2500 0.7089 0.4179
Ta 0.2500 0.0479 0.0957
Ta 0.7500 0.9521 0.9043

Summary:
Uncorrected formation energy   -624 meV/atom
Space-group type   No. 63

Below is a relaxed structure of CsTa2Tl2Se7, with properties calculated at the GGA-PBE level.

a b c (Å): 7.0105 7.0105 12.8231
angles (deg): 74.14 74.14 60.00
Each line ends with the local moment (μB).
Fractional positions:
Se 0.7801 0.4162 0.7277  0.10
Se 0.9239 0.5838 0.2723  0.10
Se 0.4162 0.0761 0.7277  0.10
Se 0.5838 0.2199 0.2723  0.10
Se 0.0761 0.7801 0.7277  0.10
Se 0.2199 0.9239 0.2723  0.10
Se 0.0000 0.0000 0.0000  0.01
Ta 0.9322 0.9322 0.2035  -0.04
Ta 0.0678 0.0678 0.7965  -0.04
Tl 0.3003 0.3003 0.0990  0.01
Tl 0.6997 0.6997 0.9010  0.01
Cs 0.5000 0.5000 0.5000  0.00

Summary:
Uncorrected formation energy   -577 meV/atom
Space-group type   No. 155

no.,spin magnetization (Bohr magnetons per cell),calculated volume (A^3/atom)
1,0.0,37.67
2,0.0,39.82
3,1.0,43.16